! Ac2CoIr (PBE, relaxed); values from VASP
&SYSTEM
  ibrav = 0, nat = 4, ntyp = 3
/
ATOMIC_SPECIES
Ac 227.00 Ac.upf
Co 58.93 Co.upf
Ir 192.22 Ir.upf
CELL_PARAMETERS angstrom
3.697 -2.137 0.000
3.697 2.137 0.000
-2.522 0.000 7.722
ATOMIC_POSITIONS crystal
Ac 0.000 0.000 0.000
Ac 0.174 0.174 0.507
Co 0.420 0.420 0.252
Ir 0.754 0.754 0.255
! Total magnetization = 0.061 μB/atom
! E_form = -0.35 eV per atom
! Density = 9.6 g/cm³


! MoIr2Rh (PBE, relaxed); values from VASP
&SYSTEM
  ibrav = 0, nat = 4, ntyp = 3
/
ATOMIC_SPECIES
Mo 95.94 Mo.upf
Ir 192.22 Ir.upf
Rh 102.91 Rh.upf
CELL_PARAMETERS angstrom
1.380 0.797 8.955
-1.380 0.797 8.955
0.000 -1.594 8.955
ATOMIC_POSITIONS crystal
Mo 0.000 0.000 0.000
Ir 0.251 0.251 0.251
Ir 0.749 0.749 0.749
Rh 0.500 0.500 0.500
! Total magnetization = 0.000 μB/atom
! E_form = -0.07 eV per atom
! Distance to the lowest polymorph of the same formula = 173 meV per atom
! Density = 16.4 g/cm³


! Mg2BF (PBE, relaxed); values from VASP
&SYSTEM
  ibrav = 0, nat = 8, ntyp = 3
/
ATOMIC_SPECIES
Mg 24.30 Mg.upf
B 10.81 B.upf
F 19.00 F.upf
CELL_PARAMETERS angstrom
6.104 -1.579 0.000
6.104 1.579 0.000
-3.484 0.000 6.216
ATOMIC_POSITIONS crystal
Mg 0.000 0.000 0.000
Mg 0.265 0.265 0.958
Mg 0.345 0.345 0.557
Mg 0.546 0.546 0.420
B 0.048 0.048 0.714
B 0.571 0.571 0.780
F 0.341 0.341 0.277
F 0.733 0.733 0.488
! Total magnetization = 0.000 μB/atom
! Distance to the lowest polymorph of the same formula = 28 meV per atom
! Density = 2.2 g/cm³


! CdCo2Br (PBE, relaxed); values from VASP
&SYSTEM
  ibrav = 0, nat = 4, ntyp = 3
/
ATOMIC_SPECIES
Cd 112.41 Cd.upf
Co 58.93 Co.upf
Br 79.90 Br.upf
CELL_PARAMETERS angstrom
2.970 -1.706 0.000
2.970 1.706 0.000
-0.076 0.000 7.649
ATOMIC_POSITIONS crystal
Cd 0.000 0.000 0.000
Co 0.335 0.335 0.246
Co 0.670 0.670 0.397
Br 0.004 0.004 0.617
! Total magnetization = 0.925 μB/atom
! Distance to the lowest polymorph of the same formula = 0 meV per atom
! Density = 6.6 g/cm³


! Cs2Pu2ZnSe6 (PBE, relaxed); values from VASP
&SYSTEM
  ibrav = 0, nat = 11, ntyp = 4
/
ATOMIC_SPECIES
Cs 132.91 Cs.upf
Pu 244.00 Pu.upf
Zn 65.41 Zn.upf
Se 78.96 Se.upf
CELL_PARAMETERS angstrom
3.476 -6.493 0.000
3.476 6.493 0.000
-2.344 0.000 8.568
ATOMIC_POSITIONS crystal
Cs 0.156 0.844 0.000
Cs 0.844 0.156 0.000
Pu 0.334 0.666 0.500
Pu 0.666 0.334 0.500
Zn 0.000 0.000 0.500
Se 0.056 0.414 0.684
Se 0.244 0.244 0.343
Se 0.414 0.056 0.684
Se 0.586 0.944 0.316
Se 0.756 0.756 0.657
Se 0.944 0.586 0.316
! Total magnetization = 0.727 μB/atom
! E = -5.90 eV per atom
! Density = 5.6 g/cm³


! Th4UTe5 (PBE, relaxed); values from VASP
&SYSTEM
  ibrav = 0, nat = 10, ntyp = 3
/
ATOMIC_SPECIES
Th 232.04 Th.upf
U 238.03 U.upf
Te 127.60 Te.upf
CELL_PARAMETERS angstrom
3.839 0.000 0.000
0.000 3.839 0.000
0.000 0.000 19.163
ATOMIC_POSITIONS crystal
Th 0.000 0.000 0.101
Th 0.000 0.000 0.303
Th 0.000 0.000 0.697
Th 0.000 0.000 0.899
U 0.000 0.000 0.500
Te 0.500 0.500 0.000
Te 0.500 0.500 0.201
Te 0.500 0.500 0.402
Te 0.500 0.500 0.598
Te 0.500 0.500 0.799
! Total magnetization = 0.385 μB/atom
! E = -6.61 eV per atom
! Density = 10.6 g/cm³


! Ac2GeBPd6 (PBE, relaxed); values from VASP
&SYSTEM
  ibrav = 0, nat = 10, ntyp = 4
/
ATOMIC_SPECIES
Ac 227.00 Ac.upf
Ge 72.64 Ge.upf
B 10.81 B.upf
Pd 106.42 Pd.upf
CELL_PARAMETERS angstrom
5.168 -2.982 0.000
5.168 2.982 0.000
-3.429 0.000 6.341
ATOMIC_POSITIONS crystal
Ac 0.227 0.227 0.181
Ac 0.773 0.773 0.819
Ge 0.500 0.500 0.000
B 0.000 0.000 0.500
Pd 0.233 0.233 0.685
Pd 0.233 0.718 0.685
Pd 0.282 0.767 0.315
Pd 0.718 0.233 0.685
Pd 0.767 0.282 0.315
Pd 0.767 0.767 0.315
! Total magnetization = 0.000 μB/atom
! E_form = -0.72 eV per atom
! Density = 10.0 g/cm³


! Gd2DyZr (PBE, relaxed); values from VASP
&SYSTEM
  ibrav = 0, nat = 4, ntyp = 3
/
ATOMIC_SPECIES
Gd 157.25 Gd.upf
Dy 162.50 Dy.upf
Zr 91.22 Zr.upf
CELL_PARAMETERS angstrom
1.684 0.972 12.009
-1.684 0.972 12.009
0.000 -1.945 12.009
ATOMIC_POSITIONS crystal
Gd 0.086 0.086 0.086
Gd 0.914 0.914 0.914
Dy 0.500 0.500 0.500
Zr 0.000 0.000 0.000
! Total magnetization = 3.688 μB/atom
! E_form = 0.30 eV per atom
! Distance to the lowest polymorph of the same formula = 215 meV per atom
! Density = 8.0 g/cm³